Material: YTaTe2I
Method: DFT, GGA-PBE
State: relaxed

Results
The calculation puts the excess energy over the best structure of this formula in the dataset at 0 meV/atom. The raw total energy comes out at -5.105 eV per atom.

a = 5.4454 Å, b = 5.4454 Å, c = 5.4526 Å
α = 90.00°, β = 90.00°, γ = 90.00°
Last column: nearest neighbours and their distance in Å.
Space group P4/mmm (No. 123)
One atom of each set of equivalent atoms:
Y (0.0000, 0.0000, 0.0000) [1 per cell]  4 I 3.85, 8 Te 3.85
Ta (0.5000, 0.5000, 0.5000) [1 per cell]  4 Te 2.72, 2 I 2.73
Te (0.0000, 0.5000, 0.5000) [2 per cell]  2 Ta 2.72
I (0.5000, 0.5000, 0.0000) [1 per cell]  2 Ta 2.73

Material: RbPa2AgS8
Method: DFT, GGA-PBE
State: relaxed

Results
The raw total energy comes out at -5.426 eV per atom.

a = 6.1227 Å, b = 6.1227 Å, c = 9.1864 Å
α = 90.00°, β = 90.00°, γ = 120.00°
Last column: nearest neighbours and their distance in Å.
Space group P-3m1 (No. 164)
One atom of each set of equivalent atoms:
Rb (0.0000, 0.0000, 0.0000) [1 per cell]  12 S 3.71-3.73
Pa (0.3333, 0.6667, 0.3848) [2 per cell]  1 S 2.41
Ag (0.0000, 0.0000, 0.5000) [1 per cell]  6 S 2.43
S (0.1856, 0.3711, 0.6545) [6 per cell]  1 Ag 2.43, 2 S 2.71
S (0.3333, 0.6667, 0.1229) [2 per cell]  1 Pa 2.41

Computed calculated volume, in the same sequence as the records: 161.68, 298.24 Å³ per cell.